No. 1
# NbTcAs2Br, relaxed, DFT PBE
data_NbTcAs2Br
_cell_length_a 5.0223
_cell_length_b 5.0223
_cell_length_c 5.1408
_cell_angle_alpha 90.00
_cell_angle_beta 90.00
_cell_angle_gamma 90.00
_symmetry_space_group_name_H-M 'P 4/m m m'
_symmetry_Int_Tables_number 123
_symmetry_space_group_name_Hall '-P 4 2'
loop_
_atom_site_label
_atom_site_fract_x
_atom_site_fract_y
_atom_site_fract_z
_atom_site_occupancy
Nb1 0.0000 0.0000 0.0000 1
Tc1 0.5000 0.5000 0.5000 1
As1 0.0000 0.5000 0.0000 1
Br1 0.0000 0.0000 0.5000 1
# Total energy in eV/cell: -26.920
# Mass density in Mg/m³: 5.4
# Offset from the most stable computed form in meV/atom: 38
# DOS at the Fermi energy in states/eV per cell: 3.021


No. 2
# NbTeAs2Br, relaxed, DFT PBE
data_NbTeAs2Br
_cell_length_a 4.9961
_cell_length_b 4.9961
_cell_length_c 5.3942
_cell_angle_alpha 90.00
_cell_angle_beta 90.00
_cell_angle_gamma 90.00
_symmetry_space_group_name_H-M 'P 4/m m m'
_symmetry_Int_Tables_number 123
_symmetry_space_group_name_Hall '-P 4 2'
loop_
_atom_site_label
_atom_site_fract_x
_atom_site_fract_y
_atom_site_fract_z
_atom_site_occupancy
Nb1 0.0000 0.0000 0.0000 1
Te1 0.5000 0.5000 0.0000 1
As1 0.0000 0.5000 0.5000 1
Br1 0.5000 0.5000 0.5000 1
# Total energy in eV/cell: -17.435
# Mass density in Mg/m³: 5.6
# Offset from the most stable computed form in meV/atom: 1096
# DOS at the Fermi energy in states/eV per cell: 3.973


No. 3
# NbTeAsBr2, relaxed, DFT PBE
data_NbTeAsBr2
_cell_length_a 4.9912
_cell_length_b 4.9912
_cell_length_c 5.4504
_cell_angle_alpha 90.00
_cell_angle_beta 90.00
_cell_angle_gamma 90.00
_symmetry_space_group_name_H-M 'P 4/m m m'
_symmetry_Int_Tables_number 123
_symmetry_space_group_name_Hall '-P 4 2'
loop_
_atom_site_label
_atom_site_fract_x
_atom_site_fract_y
_atom_site_fract_z
_atom_site_occupancy
Nb1 0.0000 0.0000 0.0000 1
Te1 0.5000 0.5000 0.5000 1
As1 0.0000 0.0000 0.5000 1
Br1 0.0000 0.5000 0.0000 1
# Total energy in eV/cell: -20.506
# Mass density in Mg/m³: 5.6
# Offset from the most stable computed form in meV/atom: 0
# DOS at the Fermi energy in states/eV per cell: 5.522


No. 4
# NbTeAs2Br, relaxed, DFT PBE
data_NbTeAs2Br
_cell_length_a 5.1611
_cell_length_b 5.1611
_cell_length_c 4.9385
_cell_angle_alpha 90.00
_cell_angle_beta 90.00
_cell_angle_gamma 90.00
_symmetry_space_group_name_H-M 'P 4/m m m'
_symmetry_Int_Tables_number 123
_symmetry_space_group_name_Hall '-P 4 2'
loop_
_atom_site_label
_atom_site_fract_x
_atom_site_fract_y
_atom_site_fract_z
_atom_site_occupancy
Nb1 0.0000 0.0000 0.0000 1
Te1 0.5000 0.5000 0.5000 1
As1 0.0000 0.5000 0.0000 1
Br1 0.0000 0.0000 0.5000 1
# Total energy in eV/cell: -22.914
# Mass density in Mg/m³: 5.7
# Offset from the most stable computed form in meV/atom: 0
# DOS at the Fermi energy in states/eV per cell: 4.612